(1)
HfCuNiHg: relaxed, PBE-GGA.

Values from the calculation:
mass density = 13.1 g/cm³
raw total energy = -82.64 eV per cell
ΔE_f = -132 meV/atom

Cell and atoms, written as CIF:
```
data_HfCuNiHg
_chemical_formula_sum 'Hf4 Cu4 Ni4 Hg4'
_symmetry_space_group_name_H-M 'F -4 3 m'
_symmetry_Int_Tables_number 216
_symmetry_space_group_name_Hall 'F -4 2 3'
_cell_length_a 6.327
_cell_length_b 6.327
_cell_length_c 6.327
_cell_angle_alpha 90.00
_cell_angle_beta 90.00
_cell_angle_gamma 90.00
loop_
_atom_site_label
_atom_site_fract_x
_atom_site_fract_y
_atom_site_fract_z
Hf1 0.000 0.000 0.000
Cu1 0.250 0.250 0.250
Ni1 0.250 0.250 0.750
Hg1 0.000 0.000 0.500
```

(2)
HfZrInAu: relaxed, PBE-GGA.

Values from the calculation:
mass density = 11.7 g/cm³
raw total energy = -25.98 eV per cell
ΔE_f = -366 meV/atom

Cell and atoms, written as CIF:
```
data_HfZrInAu
_chemical_formula_sum 'Hf1 Zr1 In1 Au1'
_symmetry_space_group_name_H-M 'P 4 m m'
_symmetry_Int_Tables_number 99
_symmetry_space_group_name_Hall 'P 4 -2'
_cell_length_a 3.129
_cell_length_b 3.129
_cell_length_c 8.454
_cell_angle_alpha 90.00
_cell_angle_beta 90.00
_cell_angle_gamma 90.00
loop_
_atom_site_label
_atom_site_fract_x
_atom_site_fract_y
_atom_site_fract_z
Hf1 0.000 0.000 0.000
Zr1 0.000 0.000 0.526
In1 0.500 0.500 0.262
Au1 0.500 0.500 0.769
```

(3)
Tb3TlHS: relaxed, PBE-GGA.

Values from the calculation:
mass density = 8.5 g/cm³
raw total energy = -58.65 eV per cell

Cell and atoms, written as CIF:
```
data_Tb3TlHS
_chemical_formula_sum 'Tb6 Tl2 H2 S2'
_symmetry_space_group_name_H-M 'P 1 21/m 1'
_symmetry_Int_Tables_number 11
_symmetry_space_group_name_Hall '-P 2yb'
_cell_length_a 8.255
_cell_length_b 3.992
_cell_length_c 8.687
_cell_angle_alpha 90.00
_cell_angle_beta 101.55
_cell_angle_gamma 90.00
loop_
_atom_site_label
_atom_site_fract_x
_atom_site_fract_y
_atom_site_fract_z
Tb1 0.065 0.250 0.326
Tb2 0.317 0.250 0.960
Tb3 0.381 0.750 0.627
Tl1 0.327 0.750 0.247
H1 0.418 0.750 0.899
S1 0.156 0.250 0.648
```

(4)
ErSc2Ir: relaxed, PBE-GGA.

Values from the calculation:
mass density = 8.4 g/cm³
raw total energy = -27.97 eV per cell
ΔE_f = -472 meV/atom

Cell and atoms, written as CIF:
```
data_ErSc2Ir
_chemical_formula_sum 'Er1 Sc2 Ir1'
_symmetry_space_group_name_H-M 'P 4/m m m'
_symmetry_Int_Tables_number 123
_symmetry_space_group_name_Hall '-P 4 2'
_cell_length_a 3.254
_cell_length_b 3.254
_cell_length_c 8.406
_cell_angle_alpha 90.00
_cell_angle_beta 90.00
_cell_angle_gamma 90.00
loop_
_atom_site_label
_atom_site_fract_x
_atom_site_fract_y
_atom_site_fract_z
Er1 0.000 0.000 0.000
Sc1 0.500 0.500 0.311
Ir1 0.000 0.000 0.500
```

(5)
HfZnFeNi: relaxed, PBE-GGA.

Values from the calculation:
mass density = 10.8 g/cm³
raw total energy = -105.47 eV per cell
ΔE_f = -224 meV/atom

Cell and atoms, written as CIF:
```
data_HfZnFeNi
_chemical_formula_sum 'Hf4 Zn4 Fe4 Ni4'
_symmetry_space_group_name_H-M 'F -4 3 m'
_symmetry_Int_Tables_number 216
_symmetry_space_group_name_Hall 'F -4 2 3'
_cell_length_a 6.037
_cell_length_b 6.037
_cell_length_c 6.037
_cell_angle_alpha 90.00
_cell_angle_beta 90.00
_cell_angle_gamma 90.00
loop_
_atom_site_label
_atom_site_fract_x
_atom_site_fract_y
_atom_site_fract_z
Hf1 0.000 0.000 0.000
Zn1 0.000 0.000 0.500
Fe1 0.250 0.250 0.750
Ni1 0.250 0.250 0.250
```

(6)
Sm3Y2Ge4: relaxed, PBE-GGA.

Values from the calculation:
mass density = 6.7 g/cm³
raw total energy = -106.60 eV per cell
ΔE_f = -860 meV/atom

Cell and atoms, written as CIF:
```
data_Sm3Y2Ge4
_chemical_formula_sum 'Sm6 Y4 Ge8'
_symmetry_space_group_name_H-M 'P 1 21/c 1'
_symmetry_Int_Tables_number 14
_symmetry_space_group_name_Hall '-P 2ybc'
_cell_length_a 8.034
_cell_length_b 7.906
_cell_length_c 7.708
_cell_angle_alpha 90.00
_cell_angle_beta 111.88
_cell_angle_gamma 90.00
loop_
_atom_site_label
_atom_site_fract_x
_atom_site_fract_y
_atom_site_fract_z
Sm1 0.000 0.000 0.000
Sm2 0.301 0.181 0.435
Y1 0.262 0.664 0.271
Ge1 0.008 0.128 0.626
Ge2 0.415 0.537 0.674
```

(7)
PdRhO2: relaxed, PBE-GGA.

Values from the calculation:
mass density = 7.8 g/cm³
raw total energy = -90.28 eV per cell
ΔE_f (raw) = -0.03 eV per atom

Cell and atoms, written as CIF:
```
data_PdRhO2
_chemical_formula_sum 'Pd4 Rh4 O8'
_symmetry_space_group_name_H-M 'I -4 2 d'
_symmetry_Int_Tables_number 122
_symmetry_space_group_name_Hall 'I -4 2bw'
_cell_length_a 4.110
_cell_length_b 4.110
_cell_length_c 12.182
_cell_angle_alpha 90.00
_cell_angle_beta 90.00
_cell_angle_gamma 90.00
loop_
_atom_site_label
_atom_site_fract_x
_atom_site_fract_y
_atom_site_fract_z
Pd1 0.000 0.000 0.000
Rh1 0.000 0.000 0.500
O1 0.217 0.250 0.625
```

(8)
CsBaSb2W: relaxed, PBE-GGA.

Values from the calculation:
mass density = 5.4 g/cm³
raw total energy = -15.54 eV per cell
ΔE_f (raw) = 1.69 eV per atom

Cell and atoms, written as CIF:
```
data_CsBaSb2W
_chemical_formula_sum 'Cs1 Ba1 Sb2 W1'
_symmetry_space_group_name_H-M 'P 4/m m m'
_symmetry_Int_Tables_number 123
_symmetry_space_group_name_Hall '-P 4 2'
_cell_length_a 6.200
_cell_length_b 6.200
_cell_length_c 5.623
_cell_angle_alpha 90.00
_cell_angle_beta 90.00
_cell_angle_gamma 90.00
loop_
_atom_site_label
_atom_site_fract_x
_atom_site_fract_y
_atom_site_fract_z
Cs1 0.000 0.000 0.000
Ba1 0.500 0.500 0.500
Sb1 0.000 0.500 0.000
W1 0.000 0.000 0.500
```

(9)
K2CaBr: relaxed, PBE-GGA.

Values from the calculation:
mass density = 1.7 g/cm³
raw total energy = -16.06 eV per cell
ΔE_f (raw) = -0.54 eV per atom

Cell and atoms, written as CIF:
```
data_K2CaBr
_chemical_formula_sum 'K4 Ca2 Br2'
_symmetry_space_group_name_H-M 'I m m m'
_symmetry_Int_Tables_number 71
_symmetry_space_group_name_Hall '-I 2 2'
_cell_length_a 4.199
_cell_length_b 7.294
_cell_length_c 13.002
_cell_angle_alpha 90.00
_cell_angle_beta 90.00
_cell_angle_gamma 90.00
loop_
_atom_site_label
_atom_site_fract_x
_atom_site_fract_y
_atom_site_fract_z
K1 0.000 0.000 0.189
Ca1 0.000 0.500 0.000
Br1 0.000 0.500 0.500
```

(10)
NaPmI2: relaxed, PBE-GGA.

Values from the calculation:
mass density = 5.7 g/cm³
raw total energy = -12.90 eV per cell
ΔE_f (raw) = -0.93 eV per atom

Cell and atoms, written as CIF:
```
data_NaPmI2
_chemical_formula_sum 'Na1 Pm1 I2'
_symmetry_space_group_name_H-M 'P 4/m m m'
_symmetry_Int_Tables_number 123
_symmetry_space_group_name_Hall '-P 4 2'
_cell_length_a 3.949
_cell_length_b 3.949
_cell_length_c 7.826
_cell_angle_alpha 90.00
_cell_angle_beta 90.00
_cell_angle_gamma 90.00
loop_
_atom_site_label
_atom_site_fract_x
_atom_site_fract_y
_atom_site_fract_z
Na1 0.000 0.000 0.000
Pm1 0.000 0.000 0.500
I1 0.500 0.500 0.268
```

(11)
U3As2C: relaxed, PBE-GGA.

Values from the calculation:
mass density = 11.6 g/cm³
raw total energy = -218.68 eV per cell
ΔE_f = -380 meV/atom

Cell and atoms, written as CIF:
```
data_U3As2C
_chemical_formula_sum 'U12 As8 C4'
_symmetry_space_group_name_H-M 'C 1 2/c 1'
_symmetry_Int_Tables_number 15
_symmetry_space_group_name_Hall '-C 2yc'
_cell_length_a 6.782
_cell_length_b 11.773
_cell_length_c 6.657
_cell_angle_alpha 90.00
_cell_angle_beta 109.68
_cell_angle_gamma 90.00
loop_
_atom_site_label
_atom_site_fract_x
_atom_site_fract_y
_atom_site_fract_z
U1 0.194 0.070 0.492
U2 0.250 0.250 0.000
As1 0.000 0.269 0.250
As2 0.000 0.421 0.750
C1 0.000 0.096 0.750
```

(12)
Ba2CrBr: relaxed, PBE-GGA.

Values from the calculation:
mass density = 4.2 g/cm³
raw total energy = -16.36 eV per cell
ΔE_f (raw) = -0.31 eV per atom

Cell and atoms, written as CIF:
```
data_Ba2CrBr
_chemical_formula_sum 'Ba2 Cr1 Br1'
_symmetry_space_group_name_H-M 'P 4 m m'
_symmetry_Int_Tables_number 99
_symmetry_space_group_name_Hall 'P 4 -2'
_cell_length_a 4.847
_cell_length_b 4.847
_cell_length_c 6.903
_cell_angle_alpha 90.00
_cell_angle_beta 90.00
_cell_angle_gamma 90.00
loop_
_atom_site_label
_atom_site_fract_x
_atom_site_fract_y
_atom_site_fract_z
Ba1 0.000 0.000 0.000
Ba2 0.500 0.500 0.498
Cr1 0.500 0.500 0.998
Br1 0.000 0.000 0.500
```

Question: Number 11 is which compound?
Answer: U3As2C